1.
HgAu2: relaxed, GGA-PBE.

Results
* mass density: 16.75 g cm⁻³
* total energy: -2.2039 eV per atom

a = 5.5738 Å, b = 5.5738 Å, c = 10.9666 Å
α = 140.17°, β = 140.17°, γ = 35.88°
With the nearest neighbours (Å) after each atom.
Positions (direct):
Hg: 0.7796 0.7796 0.0610  8 Au 2.87-2.99, 2 Hg 3.10
Hg: 0.4540 0.4540 0.4101  8 Au 2.92-2.99, 2 Hg 3.10
Au: 0.6586 0.6586 0.3230  5 Au 2.93-3.03, 5 Hg 2.95-2.99
Au: 0.1191 0.1191 0.7325  4 Hg 2.92-2.99, 6 Au 2.92-2.98
Au: 0.3314 0.3314 0.6547  3 Hg 2.87-2.97, 7 Au 2.96-3.01
Au: 0.9906 0.9906 0.9853  6 Au 2.92-3.03, 4 Hg 2.95-2.99


2.
Hg2Au: relaxed, GGA-PBE.

Results
* mass density: 14.48 g cm⁻³
* total energy: -1.1146 eV per atom

a = 5.2786 Å, b = 5.2786 Å, c = 2.8431 Å
α = 90.00°, β = 90.00°, γ = 120.00°
With the nearest neighbours (Å) after each atom.
Positions (direct):
Au: 0.0000 0.0000 0.0000  2 Au 2.84
Hg: 0.3333 0.6667 0.5000  5 Hg 2.84-3.05
Hg: 0.6667 0.3333 0.5000  5 Hg 2.84-3.05


3.
Hg2Au: relaxed, GGA-PBE.

Results
* mass density: 13.17 g cm⁻³
* total energy: -1.1973 eV per atom

a = 4.0197 Å, b = 4.0197 Å, c = 5.3910 Å
α = 90.00°, β = 90.00°, γ = 120.00°
With the nearest neighbours (Å) after each atom.
Positions (direct):
Au: 0.0000 0.0000 0.0000  6 Hg 2.88
Hg: 0.3333 0.6667 0.3149  3 Au 2.88, 3 Hg 3.06
Hg: 0.6667 0.3333 0.6851  3 Au 2.88, 3 Hg 3.06


4.
Hg2Au: relaxed, GGA-PBE.

Results
* mass density: 12.78 g cm⁻³
* total energy: -0.9633 eV per atom

a = 5.5040 Å, b = 5.5040 Å, c = 11.8452 Å
α = 90.00°, β = 90.00°, γ = 120.00°
With the nearest neighbours (Å) after each atom.
Positions (direct):
Hg: 0.8330 0.6661 0.2500  4 Hg 2.75-2.76
Au: 0.6667 0.3333 0.0143  6 Hg 3.18-3.21, 3 Au 3.20
Hg: 0.6661 0.8330 0.7500  4 Hg 2.75-2.76
Hg: 0.8330 0.1670 0.2500  4 Hg 2.75-2.76
Hg: 0.1670 0.3339 0.7500  4 Hg 2.75-2.76
Hg: 0.1670 0.8330 0.7500  4 Hg 2.75-2.76
Hg: 0.0000 0.0000 0.0000  6 Au 3.18, 6 Hg 3.36
Hg: 0.3339 0.1670 0.2500  4 Hg 2.75-2.76
Au: 0.6667 0.3333 0.4857  6 Hg 3.18-3.21, 3 Au 3.20
Au: 0.3333 0.6667 0.5143  6 Hg 3.18-3.21, 3 Au 3.20
Hg: 0.0000 0.0000 0.5000  6 Au 3.18, 6 Hg 3.36
Au: 0.3333 0.6667 0.9857  6 Hg 3.18-3.21, 3 Au 3.20


Respective ΔE_f values: 0.08 0.18 0.10 0.33 eV/atom.